Compound: NiGeRh2
Source: the Alexandria database
Functional: PBE
Structure: optimized geometry

a = 5.9833 Å, b = 5.9833 Å, c = 5.9833 Å
α = 48.89°, β = 153.86°, γ = 139.44°
Positions (direct):
Ni1 0.0000 0.0000 0.0000
Rh1 0.0000 0.7167 0.7167
Rh2 0.0000 0.2833 0.2833
Ge1 0.0000 0.5000 0.5000

Uncorrected energy = -24.39 eV for the cell shown
Density = 9.16 g cm⁻³
Magnetic moment = 0.00 μB/cell
Formation energy from the elements = 0.18 eV/atom

=====

Compound: TbSm4Er2Sc
Source: the Alexandria database
Functional: PBE
Structure: optimized geometry

a = 3.5590 Å, b = 6.1418 Å, c = 11.6710 Å
α = 79.76°, β = 90.00°, γ = 90.00°
Positions (direct):
Sm1 0.5000 0.7461 0.2563
Sm2 0.0000 0.7501 0.7471
Sm3 0.0000 0.2499 0.2529
Sm4 0.5000 0.2539 0.7437
Er1 0.0000 0.0000 0.0000
Er2 0.5000 0.0000 0.5000
Tb1 0.5000 0.5000 0.0000
Sc1 0.0000 0.5000 0.5000

Uncorrected energy = -38.70 eV for the cell shown
Density = 7.54 g cm⁻³
Magnetic moment = 0.00 μB/cell
Formation energy from the elements = 0.03 eV/atom

=====

Q: Among the records above, which one has the highest uncorrected energy?
A: NiGeRh2

=====

Q: What is the magnetic moment in the first record?
A: 0.00 μB/cell

=====

Q: magnetic moment of number 2 (TbSm4Er2Sc)?
A: 0.00 μB/cell

=====

Q: The highest uncorrected energy belongs to which entry?
A: NiGeRh2